# 1
Entry from Alexandria: a relaxed CsTlInH crystal (GGA-PBE).

Results
Energy above the lowest structure with this stoichiometry in eV per atom: 0.150

Cell lengths 5.225, 5.225, 6.673 Å; angles 100.58, 100.58, 62.26 degrees
Sites, in units of the cell vectors:
1 Cs 0.000 0.000 0.000
2 Tl 0.236 0.236 0.580
3 In 0.766 0.766 0.417
4 H 0.991 0.991 0.502

***

# 2
Entry from Alexandria: a relaxed CsTlInH crystal (GGA-PBE).

Results
Energy above the lowest structure with this stoichiometry in eV per atom: 0.067

Cell lengths 5.235, 5.235, 5.714 Å; angles 90.00, 90.00, 120.00 degrees
Sites, in units of the cell vectors:
1 Cs 0.000 0.000 0.000
2 Tl 0.333 0.667 0.506
3 In 0.667 0.333 0.495
4 H 0.667 0.333 0.166

***

# 3
Entry from Alexandria: a relaxed CsTlInH crystal (GGA-PBE).

Results
Energy above the lowest structure with this stoichiometry in eV per atom: 0.000

Cell lengths 8.120, 8.120, 4.017 Å; angles 104.25, 104.25, 27.65 degrees
Sites, in units of the cell vectors:
1 Cs 0.000 0.000 0.000
2 Tl 0.304 0.304 0.300
3 In 0.698 0.698 0.695
4 H 0.571 0.571 0.571

***

# 4
Entry from Alexandria: a relaxed CsTlInH crystal (GGA-PBE).

Results
Energy above the lowest structure with this stoichiometry in eV per atom: 0.068

Cell lengths 8.246, 8.246, 8.246 Å; angles 152.26, 152.26, 39.63 degrees
Sites, in units of the cell vectors:
1 Cs 0.000 0.000 0.000
2 Tl 0.301 0.301 0.000
3 In 0.699 0.699 0.000
4 H 0.431 0.431 0.000

***

# 5
Entry from Alexandria: a relaxed CsH4Ir crystal (GGA-PBE).

Results
Energy above the lowest structure with this stoichiometry in eV per atom: 0.092

Cell lengths 6.654, 6.654, 5.409 Å; angles 90.00, 90.00, 126.94 degrees
Sites, in units of the cell vectors:
1 Cs 0.158 0.842 0.750
2 Cs 0.842 0.158 0.250
3 H 0.162 0.315 0.750
4 H 0.315 0.162 0.250
5 H 0.406 0.594 0.029
6 H 0.406 0.594 0.471
7 H 0.594 0.406 0.529
8 H 0.594 0.406 0.971
9 H 0.685 0.838 0.750
10 H 0.838 0.685 0.250
11 Ir 0.471 0.529 0.750
12 Ir 0.529 0.471 0.250

***

# 6
Entry from Alexandria: a relaxed CsH4Ir crystal (GGA-PBE).

Results
Energy above the lowest structure with this stoichiometry in eV per atom: 0.000

Cell lengths 7.402, 7.402, 4.775 Å; angles 107.32, 107.32, 51.22 degrees
Sites, in units of the cell vectors:
1 Cs 0.166 0.166 0.261
2 Cs 0.834 0.834 0.739
3 H 0.229 0.566 0.365
4 H 0.305 0.695 0.000
5 H 0.337 0.337 0.942
6 H 0.434 0.771 0.635
7 H 0.566 0.229 0.365
8 H 0.663 0.663 0.058
9 H 0.695 0.305 0.000
10 H 0.771 0.434 0.635
11 Ir 0.449 0.449 0.198
12 Ir 0.551 0.551 0.802

***

# 7
Entry from Alexandria: a relaxed CsH3Ir crystal (GGA-PBE).

Results
Energy above the lowest structure with this stoichiometry in eV per atom: 0.000

Cell lengths 7.586, 7.586, 5.411 Å; angles 90.00, 90.00, 71.30 degrees
Sites, in units of the cell vectors:
1 Cs 0.136 0.364 0.250
2 Cs 0.364 0.136 0.750
3 Cs 0.636 0.864 0.250
4 Cs 0.864 0.636 0.750
5 H 0.023 0.977 0.831
6 H 0.131 0.723 0.350
7 H 0.223 0.631 0.850
8 H 0.277 0.869 0.350
9 H 0.369 0.777 0.850
10 H 0.477 0.523 0.331
11 H 0.523 0.477 0.669
12 H 0.631 0.223 0.150
13 H 0.723 0.131 0.650
14 H 0.777 0.369 0.150
15 H 0.869 0.277 0.650
16 H 0.977 0.023 0.169
17 Ir 0.171 0.829 0.074
18 Ir 0.329 0.671 0.574
19 Ir 0.671 0.329 0.426
20 Ir 0.829 0.171 0.926

***

# 8
Entry from Alexandria: a relaxed CsH7Ir2 crystal (GGA-PBE).

Cell lengths 5.736, 5.736, 3.623 Å; angles 90.00, 90.00, 122.86 degrees
Sites, in units of the cell vectors:
1 Cs 0.000 0.000 0.000
2 H 0.028 0.354 0.500
3 H 0.320 0.680 0.000
4 H 0.354 0.028 0.500
5 H 0.500 0.500 0.500
6 H 0.646 0.972 0.500
7 H 0.680 0.320 0.000
8 H 0.972 0.646 0.500
9 Ir 0.314 0.686 0.500
10 Ir 0.686 0.314 0.500

***

# 9
Entry from Alexandria: a relaxed Cs3H6Ir crystal (GGA-PBE).

Results
Energy above the lowest structure with this stoichiometry in eV per atom: 0.026

Cell lengths 6.696, 6.688, 6.005 Å; angles 63.41, 63.27, 53.31 degrees
Sites, in units of the cell vectors:
1 Cs 0.000 0.000 0.000
2 Cs 0.250 0.250 0.250
3 Cs 0.750 0.750 0.750
4 H 0.219 0.781 0.501
5 H 0.335 0.335 0.665
6 H 0.499 0.501 0.781
7 H 0.501 0.499 0.219
8 H 0.665 0.665 0.335
9 H 0.781 0.219 0.499
10 Ir 0.500 0.500 0.500

***

# 10
Entry from Alexandria: a relaxed CsH8Ir2 crystal (GGA-PBE).

Cell lengths 4.693, 4.693, 6.492 Å; angles 90.18, 90.18, 108.85 degrees
Sites, in units of the cell vectors:
1 Cs 0.000 0.000 0.000
2 H 0.056 0.427 0.670
3 H 0.060 0.426 0.332
4 H 0.111 0.839 0.501
5 H 0.426 0.060 0.332
6 H 0.427 0.056 0.670
7 H 0.590 0.590 0.689
8 H 0.593 0.593 0.308
9 H 0.839 0.111 0.501
10 Ir 0.483 0.832 0.499
11 Ir 0.832 0.483 0.499

***

# 11
Entry from Alexandria: a relaxed CsH5Ir crystal (GGA-PBE).

Cell lengths 5.870, 5.870, 5.870 Å; angles 111.95, 104.68, 111.89 degrees
Sites, in units of the cell vectors:
1 Cs 0.250 0.000 0.250
2 Cs 0.750 0.000 0.750
3 H 0.190 0.500 0.310
4 H 0.190 0.880 0.690
5 H 0.251 0.501 0.750
6 H 0.310 0.120 0.810
7 H 0.310 0.500 0.190
8 H 0.690 0.500 0.810
9 H 0.690 0.880 0.190
10 H 0.749 0.499 0.250
11 H 0.810 0.120 0.310
12 H 0.810 0.500 0.690
13 Ir 0.000 0.500 0.500
14 Ir 0.500 0.500 0.000

***

# 12
Entry from Alexandria: a relaxed Cs3H6Ir crystal (GGA-PBE).

Results
Energy above the lowest structure with this stoichiometry in eV per atom: 0.000

Cell lengths 6.436, 6.436, 6.436 Å; angles 60.00, 60.00, 60.00 degrees
Sites, in units of the cell vectors:
1 Cs 0.000 0.000 0.000
2 Cs 0.250 0.250 0.250
3 Cs 0.750 0.750 0.750
4 H 0.314 0.314 0.686
5 H 0.314 0.686 0.314
6 H 0.314 0.686 0.686
7 H 0.686 0.314 0.314
8 H 0.686 0.314 0.686
9 H 0.686 0.686 0.314
10 Ir 0.500 0.500 0.500

***

# 13
Entry from Alexandria: a relaxed Cs2H5Ir crystal (GGA-PBE).

Cell lengths 6.172, 6.172, 6.172 Å; angles 116.85, 116.85, 95.56 degrees
Sites, in units of the cell vectors:
1 Cs 0.000 0.500 0.500
2 Cs 0.500 0.000 0.500
3 H 0.065 0.065 0.629
4 H 0.065 0.436 0.000
5 H 0.436 0.065 0.000
6 H 0.436 0.436 0.371
7 H 0.439 0.439 0.000
8 Ir 0.251 0.251 0.000

***

# 14
Entry from Alexandria: a relaxed CsH3Ir crystal (GGA-PBE).

Results
Energy above the lowest structure with this stoichiometry in eV per atom: 0.142

Cell lengths 3.970, 3.970, 3.970 Å; angles 90.00, 90.00, 90.00 degrees
Sites, in units of the cell vectors:
1 Cs 0.000 0.000 0.000
2 H 0.000 0.500 0.500
3 H 0.500 0.000 0.500
4 H 0.500 0.500 0.000
5 Ir 0.500 0.500 0.500

***

# 15
Entry from Alexandria: a relaxed CsH3Ir crystal (GGA-PBE).

Results
Energy above the lowest structure with this stoichiometry in eV per atom: 2.023

Cell lengths 4.492, 4.492, 4.492 Å; angles 90.00, 90.00, 90.00 degrees
Sites, in units of the cell vectors:
1 Cs 0.000 0.000 0.000
2 H 0.000 0.000 0.500
3 H 0.000 0.500 0.000
4 H 0.500 0.000 0.000
5 Ir 0.500 0.500 0.500

***

# 16
Entry from Alexandria: a relaxed Cs4H6Ir crystal (GGA-PBE).

Cell lengths 8.505, 8.505, 8.505 Å; angles 88.73, 88.73, 88.73 degrees
Sites, in units of the cell vectors:
1 Cs 0.176 0.750 0.324
2 Cs 0.250 0.250 0.250
3 Cs 0.250 0.676 0.824
4 Cs 0.324 0.176 0.750
5 Cs 0.676 0.824 0.250
6 Cs 0.750 0.324 0.176
7 Cs 0.750 0.750 0.750
8 Cs 0.824 0.250 0.676
9 H 0.030 0.969 0.804
10 H 0.031 0.196 0.970
11 H 0.196 0.970 0.031
12 H 0.304 0.469 0.530
13 H 0.469 0.530 0.304
14 H 0.470 0.696 0.531
15 H 0.530 0.304 0.469
16 H 0.531 0.470 0.696
17 H 0.696 0.531 0.470
18 H 0.804 0.030 0.969
19 H 0.969 0.804 0.030
20 H 0.970 0.031 0.196
21 Ir 0.000 0.000 0.000
22 Ir 0.500 0.500 0.500

***

# 17
Entry from Alexandria: a relaxed CsK2H6Ir crystal (GGA-PBE).

Cell lengths 6.167, 6.167, 6.167 Å; angles 60.00, 60.00, 60.00 degrees
Sites, in units of the cell vectors:
1 Cs 0.000 0.000 0.000
2 K 0.250 0.250 0.250
3 K 0.750 0.750 0.750
4 H 0.308 0.308 0.692
5 H 0.308 0.692 0.308
6 H 0.308 0.692 0.692
7 H 0.692 0.308 0.308
8 H 0.692 0.308 0.692
9 H 0.692 0.692 0.308
10 Ir 0.500 0.500 0.500

***

# 18
Entry from Alexandria: a relaxed CsKH6Ir crystal (GGA-PBE).

Cell lengths 4.718, 5.693, 6.328 Å; angles 101.68, 111.57, 90.86 degrees
Sites, in units of the cell vectors:
1 Cs 0.000 0.000 0.000
2 K 0.732 0.580 0.402
3 H 0.263 0.349 0.468
4 H 0.343 0.132 0.664
5 H 0.357 0.680 0.660
6 H 0.482 0.655 0.982
7 H 0.492 0.304 0.982
8 H 0.765 0.428 0.773
9 Ir 0.401 0.427 0.755

***

# 19
Entry from Alexandria: a relaxed CsNb2HIr crystal (GGA-PBE).

Cell lengths 5.237, 5.237, 3.334 Å; angles 90.00, 90.00, 90.00 degrees
Sites, in units of the cell vectors:
1 Cs 0.000 0.000 0.000
2 Nb 0.000 0.500 0.000
3 Nb 0.500 0.000 0.000
4 H 0.000 0.000 0.500
5 Ir 0.500 0.500 0.500

***

# 20
Entry from Alexandria: a relaxed Cs2H6IrPb crystal (GGA-PBE).

Cell lengths 6.322, 6.322, 6.318 Å; angles 90.00, 90.00, 120.00 degrees
Sites, in units of the cell vectors:
1 Cs 0.333 0.667 0.180
2 Cs 0.667 0.333 0.820
3 H 0.126 0.251 0.842
4 H 0.126 0.874 0.842
5 H 0.251 0.126 0.158
6 H 0.749 0.874 0.842
7 H 0.874 0.126 0.158
8 H 0.874 0.749 0.158
9 Ir 0.000 0.000 0.000
10 Pb 0.000 0.000 0.500

***

Quick rundown of energy, same order as above: -9.0; -9.3; -9.6; -9.3; -47.4; -48.5; -76.8; -41.9; -34.7; -45.6; -52.5; -35.0; -29.1; -18.5; -9.1; -71.0; -35.4; -32.8; -21.8; -35.8 eV for the cell shown
Quick rundown of total magnetization, same order as above: 0.000; 0.052; 0.000; 0.000; 0.072; 0.000; 0.000; 0.000; 0.018; 0.000; 0.000; 0.018; 0.010; 0.000; 0.449; 0.000; 0.018; 0.000; 0.001; 0.078 μB per atom